The following is a PBE calculation of a relaxed structure of TbDyAgPd, from the Alexandria database.

Properties
ΔE_f	-56.4	kJ per mole of atoms
M_tot	0.0	μB per formula unit
relative energy among the computed polymorphs	0.009	eV/atom

a b c (Å): 5.0592 5.0592 5.0592
angles (deg): 60.00 60.00 60.00
Last column: nearest neighbours and their distance in Å.
Positions (direct):
1 Tb 0.0000 0.0000 0.0000  4 Pd 3.10, 4 Ag 3.10
2 Dy 0.5000 0.5000 0.5000  4 Pd 3.10, 4 Ag 3.10
3 Ag 0.2500 0.2500 0.2500  4 Tb 3.10, 4 Dy 3.10
4 Pd 0.7500 0.7500 0.7500  4 Tb 3.10, 4 Dy 3.10



The following is a PBE calculation of a relaxed structure of TbErMg6, from the Alexandria database.

Properties
ΔE_f	-6.5	kJ per mole of atoms
M_tot	0.0	μB per formula unit

a b c (Å): 5.0769 6.5516 6.5516
angles (deg): 67.53 90.00 90.00
Last column: nearest neighbours and their distance in Å.
Positions (direct):
1 Tb 0.0000 0.0000 0.0000  10 Mg 3.25-3.35
2 Er 0.5000 0.7383 0.7383  10 Mg 3.26-3.35
3 Mg 0.0000 0.0521 0.4862  7 Mg 3.08-3.35, 2 Tb 3.25-3.33, 2 Er 3.29
4 Mg 0.0000 0.4862 0.0521  7 Mg 3.08-3.35, 2 Tb 3.25-3.33, 2 Er 3.29
5 Mg 0.0000 0.5383 0.5383  8 Mg 3.08-3.33, 2 Er 3.35
6 Mg 0.5000 0.2013 0.2013  8 Mg 3.08-3.32, 2 Tb 3.35
7 Mg 0.5000 0.2531 0.6860  7 Mg 3.08-3.35, 2 Er 3.26-3.33, 2 Tb 3.29
8 Mg 0.5000 0.6860 0.2531  7 Mg 3.08-3.35, 2 Er 3.26-3.33, 2 Tb 3.29



The following is a PBE calculation of a relaxed structure of PmY2Hf, from the Alexandria database.

Properties
ΔE_f	22.6	kJ per mole of atoms
M_tot	0.0	μB per formula unit
relative energy among the computed polymorphs	0.108	eV/atom

a b c (Å): 3.9974 3.9974 7.5284
angles (deg): 90.00 90.00 90.00
Last column: nearest neighbours and their distance in Å.
Positions (direct):
1 Pm 0.0000 0.0000 0.0000  8 Y 3.54, 2 Hf 3.76
2 Y 0.5000 0.5000 0.2822  4 Hf 3.27, 1 Y 3.28, 4 Pm 3.54
3 Y 0.5000 0.5000 0.7178  4 Hf 3.27, 1 Y 3.28, 4 Pm 3.54
4 Hf 0.0000 0.0000 0.5000  8 Y 3.27



The following is a PBE calculation of a relaxed structure of Pm5TmGe2, from the Alexandria database.

Properties
ΔE_f	-27.7	kJ per mole of atoms
M_tot	0.0	μB per formula unit

a b c (Å): 7.5425 7.5425 7.5425
angles (deg): 145.49 100.68 89.46
Last column: nearest neighbours and their distance in Å.
Positions (direct):
1 Pm 0.0000 0.0000 0.0000  2 Ge 3.19, 8 Pm 3.36
2 Pm 0.0293 0.3398 0.6895  3 Ge 3.02-3.24, 4 Pm 3.17-3.36
3 Pm 0.3497 0.6602 0.6895  3 Ge 3.02-3.24, 4 Pm 3.17-3.36
4 Pm 0.6503 0.3398 0.3105  3 Ge 3.02-3.24, 4 Pm 3.17-3.36
5 Pm 0.9707 0.6602 0.3105  3 Ge 3.02-3.24, 4 Pm 3.17-3.36
6 Tm 0.5000 0.0000 0.5000  4 Ge 3.11
7 Ge 0.2981 0.2981 0.0000  7 Pm 3.02-3.24, 2 Tm 3.11
8 Ge 0.7019 0.7019 0.0000  7 Pm 3.02-3.24, 2 Tm 3.11